The following is a DFT calculation (PBE+U) of an optimized crystal structure of MoPtIO2.

Cell lengths 3.9642, 3.9642, 7.4397 Å; angles 90.00, 90.00, 90.00 degrees
Last column: nearest neighbours and their distance in Å.
Fractional coordinates of all 5 atoms:
Mo (0.5000, 0.5000, 0.5000)  4 I 2.80
O (0.0000, 0.5000, 0.0000)  2 Pt 1.98
O (0.5000, 0.0000, 0.0000)  2 Pt 1.98
Pt (0.0000, 0.0000, 0.0000)  4 O 1.98
I (0.0000, 0.0000, 0.5000)  4 Mo 2.80

Results
E: -0.3364 Ry/atom
space group: P4/mmm, No. 123